No. 1
{
  "formula": "TcMoCl2",
  "functional": "PBE-GGA",
  "state": "optimized geometry",
  "lattice": [[3.009, 0.000, 0.000], [0.000, 3.884, 0.000], [0.000, 0.000, 6.595]],
  "species": ["Mo", "Tc", "Cl", "Cl"],
  "fractional_positions": [[0.000, 0.000, 0.540], [0.500, 0.500, 0.708], [0.000, 0.000, 0.902], [0.500, 0.500, 0.350]],
  "total_magnetization_mub_per_fu": 0.00,
  "space_group": "Pmm2, No. 25",
  "formation_energy_uncorrected_ev_per_atom": 0.246,
  "polymorph_energy_mev_per_atom": 513
}

---

No. 2
{
  "formula": "Tc2MoCl",
  "functional": "PBE-GGA",
  "state": "optimized geometry",
  "lattice": [[-1.730, -0.767, -3.977], [1.574, -3.273, -2.492], [-2.429, -3.610, -0.686]],
  "species": ["Cl", "Mo", "Tc", "Tc"],
  "fractional_positions": [[0.500, 0.500, 0.500], [0.750, 0.750, 0.750], [0.000, 0.000, 0.000], [0.250, 0.250, 0.250]],
  "total_magnetization_mub_per_fu": 0.00,
  "space_group": "F-43m, No. 216",
  "formation_energy_uncorrected_ev_per_atom": 0.860,
  "polymorph_energy_mev_per_atom": 567
}